DFT (GGA-PBE) results for a geometry-optimized LiNdSn4 structure.

a b c (Å): 6.1851 6.1851 6.1851
angles (deg): 60.00 60.00 60.00
Positions (direct):
1 Li 0.0000 0.0000 0.0000
2 Nd 0.2500 0.2500 0.2500
3 Sn 0.1246 0.6251 0.6251
4 Sn 0.6251 0.1246 0.6251
5 Sn 0.6251 0.6251 0.1246
6 Sn 0.6251 0.6251 0.6251

Calculated values
Formation energy: -153 kJ/mol of formula units
SG: F-43m, No. 216
V: 27.89 Å³/atom
Total moment: 0.000 μB/f.u.